Record 1
A relaxed structure of NbCdO, computed with PBE-GGA.

Cell lengths 7.151, 3.078, 10.872 Å; angles 90.00, 106.34, 90.00 degrees
Space group C2/m (No. 12)
Inequivalent atoms, fractional coordinates:
Nb1 0.230 0.000 0.093 (multiplicity 4)
Cd1 0.198 0.500 0.612 (multiplicity 4)
O1 0.054 0.000 0.889 (multiplicity 4)

## Properties
DOS at the Fermi energy = 1.4 states/eV/f.u.
Uncorrected formation energy = -0.89 eV per atom

Record 2
A relaxed structure of ScSnHgF2, computed with PBE-GGA.

Cell lengths 4.402, 4.402, 5.819 Å; angles 90.00, 90.00, 90.00 degrees
Space group P4/mmm (No. 123)
Inequivalent atoms, fractional coordinates:
Sc1 0.000 0.000 0.000 (multiplicity 1)
Sn1 0.500 0.500 0.500 (multiplicity 1)
Hg1 0.500 0.500 0.000 (multiplicity 1)
F1 0.000 0.500 0.500 (multiplicity 2)

## Properties
Energy above the most stable polymorph in this dataset = 0.983 eV/atom
DOS at the Fermi energy = 2.2 states/eV/f.u.
Uncorrected formation energy = -1.06 eV per atom

Record 3
A relaxed structure of Na4PrPa3N8, computed with PBE-GGA.

Cell lengths 12.211, 7.162, 7.058 Å; angles 90.00, 123.75, 90.00 degrees
Space group C2/m (No. 12)
Inequivalent atoms, fractional coordinates:
Na1 0.000 0.000 0.000 (multiplicity 2)
Na2 0.000 0.500 0.000 (multiplicity 2)
Na3 0.250 0.250 0.500 (multiplicity 4)
Pr1 0.000 0.000 0.500 (multiplicity 2)
Pa1 0.000 0.500 0.500 (multiplicity 2)
Pa2 0.250 0.250 0.000 (multiplicity 4)
N1 0.025 0.269 0.738 (multiplicity 8)
N2 0.234 0.500 0.774 (multiplicity 4)
N3 0.241 0.000 0.794 (multiplicity 4)

## Properties
DOS at the Fermi energy = 12.1 states/eV/f.u.
Uncorrected formation energy = -0.97 eV per atom

Record 4
A relaxed structure of MgMn4Se5, computed with PBE-GGA.

Cell lengths 9.356, 9.356, 6.282 Å; angles 90.00, 90.00, 90.00 degrees
Space group I4 (No. 79)
Inequivalent atoms, fractional coordinates:
Mg1 0.000 0.000 0.000 (multiplicity 2)
Mn1 0.116 0.769 0.388 (multiplicity 8)
Se1 0.000 0.000 0.580 (multiplicity 2)
Se2 0.090 0.270 0.129 (multiplicity 8)

## Properties
Uncorrected formation energy = -0.41 eV per atom